Here is a relaxed structure of ScNiNF2 from Alexandria. Energies are from PBE+U.

abc: 3.9659 3.9659 4.3600
angles: 90.00 90.00 90.00
Positions (direct):
Sc 0.0000 0.0000 0.0000
Ni 0.5000 0.5000 0.5000
N 0.0000 0.0000 0.5000
F 0.0000 0.5000 0.0000
F 0.5000 0.0000 0.0000

Calculated values
Final energy   -5.58 eV per atom
M_tot   0.40 μB/atom
Energy relative to the lowest polymorph listed for this composition   0 meV/atom